Version w
Here is crystalline ZnFeSiW at its relaxed geometry from OQMD. Energies are from GGA-PBE.

Space group: F-43m
Total moment: 2.307 μB per cell

Cell: 4.2133 4.2133 4.2133 Å, 60.00 60.00 60.00°
Closest atoms and distances in Å follow each position.
Atoms (fractional coordinates):
W: 0.2500 0.2500 0.2500  4 Si 2.58, 4 Zn 2.58
Fe: 0.7500 0.7500 0.7500  4 Si 2.58, 4 Zn 2.58
Zn: 0.5000 0.5000 0.5000  4 W 2.58, 4 Fe 2.58
Si: 0.0000 0.0000 0.0000  4 Fe 2.58, 4 W 2.58

---

Version x
Here is crystalline ZnFeSiW at its relaxed geometry from OQMD. Energies are from GGA-PBE.

Space group: F-43m
Total moment: 1.548 μB per cell

Cell: 4.2076 4.2076 4.2076 Å, 60.00 60.00 60.00°
Closest atoms and distances in Å follow each position.
Atoms (fractional coordinates):
Zn: 0.2500 0.2500 0.2500  4 W 2.58, 4 Si 2.58
Fe: 0.7500 0.7500 0.7500  4 Si 2.58, 4 W 2.58
Si: 0.0000 0.0000 0.0000  4 Fe 2.58, 4 Zn 2.58
W: 0.5000 0.5000 0.5000  4 Fe 2.58, 4 Zn 2.58

---

Among the structures above, stability is smallest for version x.